1.
The following is a DFT calculation (PBE-GGA) of an optimized crystal structure of CdReTc.

abc: 4.322 4.322 4.322
angles: 60.00 60.00 60.00
Element x y z (fractional)
Re 0.500 0.500 0.500
Cd 0.000 0.000 0.000
Tc 0.750 0.750 0.750

Energy = -21.0 eV per cell
SG = F-43m, No. 216
Crystal system = cubic
V = 19.03 A^3/atom

---

2.
The following is a DFT calculation (PBE-GGA) of an optimized crystal structure of Nd4Th3TaN8.

abc: 7.150 7.168 7.151
angles: 119.92 120.00 90.00
Element x y z (fractional)
Ta 0.000 0.500 0.000
N 0.229 0.287 0.008
N 0.221 0.713 0.992
Th 0.000 0.500 0.500
N 0.221 0.713 0.442
N 0.779 0.287 0.558
N 0.255 0.264 0.509
Nd 0.000 0.000 0.000
N 0.779 0.287 0.008
Nd 0.000 0.000 0.500
Nd 0.500 0.000 0.000
N 0.771 0.713 0.992
Th 0.500 0.500 0.000
Th 0.500 0.500 0.500
Nd 0.500 0.000 0.500
N 0.745 0.736 0.491

ΔE_f (raw) = -1.400 eV/atom
SG = R-3m, No. 166
Crystal system = trigonal
V = 16.22 A^3/atom